(1)
Cs5Sb2I12: relaxed, PBE.

abc: 8.7790 11.5592 12.6640
angles: 106.20 90.00 112.32
Closest atoms and distances in Å follow each position.
Element x y z (fractional)
I1 0.6000 0.7041 0.9261  1 Sb 3.02
I2 0.4986 0.9972 0.8260  2 Sb 3.10
I3 0.4000 0.2959 0.0739  1 Sb 3.02
I4 0.5014 0.0028 0.1740  2 Sb 3.10
I5 0.1041 0.7041 0.9261  1 Sb 3.02
I6 0.9993 0.9986 0.8300  2 Sb 3.07
I7 0.0007 0.0014 0.1700  2 Sb 3.07
I8 0.8759 0.2949 0.5758  4 Cs 3.84-3.92, 1 I 4.01
I9 0.8959 0.2959 0.0739  1 Sb 3.02
I10 0.1241 0.7051 0.4242  4 Cs 3.84-3.92, 1 I 4.01
I11 0.4190 0.2949 0.5758  4 Cs 3.84-3.92, 1 I 4.01
I12 0.5810 0.7051 0.4242  4 Cs 3.84-3.92, 1 I 4.01
Cs1 0.3072 0.6144 0.1529  7 I 3.84-4.08
Cs2 0.6998 0.3995 0.3528  7 I 3.89-4.16
Cs3 0.3002 0.6005 0.6472  7 I 3.89-4.16
Cs4 0.6928 0.3856 0.8471  7 I 3.84-4.08
Cs5 0.0000 0.0000 0.5000  6 I 3.84-4.18
Sb1 0.2499 0.0000 0.0000  6 I 3.02-3.10
Sb2 0.7501 0.0000 0.0000  6 I 3.02-3.10

The formation energy without anion corrections comes out at -0.91 eV per atom. The energy above the most stable polymorph in this dataset comes out at 0.0 kJ/mol of formula units. The calculation puts the raw total energy at -2.55 eV/atom.

***

(2)
Cs2SbI7: relaxed, PBE.

abc: 8.7595 8.7595 9.1995
angles: 61.57 61.57 90.00
Closest atoms and distances in Å follow each position.
Element x y z (fractional)
I1 0.7206 0.7206 0.5589  1 Sb 3.00
I2 0.7395 0.2605 0.0000  1 Sb 2.97, 1 I 3.23
I3 0.0000 0.0000 0.0000  4 I 3.23
I4 0.2605 0.7395 0.0000  1 Sb 2.97, 1 I 3.23
I5 0.2605 0.2605 0.0000  1 Sb 2.97, 1 I 3.23
I6 0.7395 0.7395 0.0000  1 Sb 2.97, 1 I 3.23
I7 0.2794 0.2794 0.4411  1 Sb 3.00
Cs1 0.2500 0.7500 0.5000  12 I 4.40-4.60
Cs2 0.7500 0.2500 0.5000  12 I 4.40-4.60
Sb1 0.5000 0.5000 0.0000  6 I 2.97-3.00

The formation energy without anion corrections comes out at -0.72 eV per atom. The calculation puts the raw total energy at -2.39 eV/atom.